Record 1
A plane-wave DFT calculation with PBE-GGA was carried out for Ru4Rh3 after structural relaxation.

Geometry as extended XYZ:
```
7
Lattice="-1.634 1.634 9.491 1.634 -1.634 9.491 1.634 1.634 -9.491" Properties=species:S:1:pos:R:3 pbc="T T T"
Ru 0.000 0.000 2.692
Rh 0.000 0.000 5.416
Rh 0.000 0.000 13.566
Rh 0.000 0.000 0.000
Ru 0.000 0.000 8.141
Ru 0.000 0.000 16.290
Ru 0.000 0.000 10.841
```

Calculated values
The energy relative to the elements is 0.3807 eV per atom. The symmetry is I4/mmm.

***

Record 2
A plane-wave DFT calculation with PBE-GGA was carried out for NaLiCa2O after structural relaxation.

Geometry as extended XYZ:
```
5
Lattice="4.746 0.000 0.000 0.000 4.746 0.000 0.000 0.000 5.408" Properties=species:S:1:pos:R:3 pbc="T T T"
Ca 2.373 0.000 0.000
O 0.000 0.000 0.000
Ca 0.000 2.373 0.000
Na 0.000 0.000 2.704
Li 2.373 2.373 2.704
```

Calculated values
Its formation energy (no corrections) is -0.9821 eV/atom. The symmetry is P4/mmm.

***

Record 3
A plane-wave DFT calculation with PBE-GGA was carried out for MgSbTe2 after structural relaxation.

Geometry as extended XYZ:
```
4
Lattice="6.999 0.044 -0.001 4.083 5.685 0.001 -5.365 -3.204 3.152" Properties=species:S:1:pos:R:3 pbc="T T T"
Sb 2.129 2.673 1.576
Te 10.124 5.234 0.000
Mg 3.587 -0.148 1.576
Te 6.498 3.359 0.000
```

Calculated values
Its formation energy (no corrections) is -0.2120 eV/atom. The symmetry is Immm.

***

Record 4
A plane-wave DFT calculation with PBE-GGA was carried out for CdI2N after structural relaxation.

Geometry as extended XYZ:
```
8
Lattice="3.662 0.726 1.842 -0.715 10.756 6.825 4.004 10.082 16.755" Properties=species:S:1:pos:R:3 pbc="T T T"
N 4.002 18.073 20.782
I 5.862 17.767 21.908
Cd 2.151 12.339 12.381
I 1.088 3.796 3.514
I 3.466 10.150 10.623
Cd 4.800 9.225 13.041
N 2.949 3.491 4.639
I 3.485 11.414 14.798
```

Calculated values
Its formation energy (no corrections) is 0.4974 eV/atom. The symmetry is P-1.

***

Record 5
A plane-wave DFT calculation with PBE-GGA was carried out for KBaSc2 after structural relaxation.

Geometry as extended XYZ:
```
4
Lattice="-2.273 5.252 2.623 -5.392 -0.756 -3.160 -1.442 -2.104 2.964" Properties=species:S:1:pos:R:3 pbc="T T T"
Ba -1.858 1.574 2.793
Sc 0.000 0.000 0.000
K -3.417 -1.430 -0.098
Sc -3.833 2.248 -0.269
```

Calculated values
The energy relative to the elements is 0.7305 eV per atom. The symmetry is P4/mmm.

***

Record 6
A plane-wave DFT calculation with PBE-GGA was carried out for CoNiHg2 after structural relaxation.

Geometry as extended XYZ:
```
4
Lattice="2.653 -2.574 -2.526 1.930 -3.634 1.763 -1.361 -4.081 -1.238" Properties=species:S:1:pos:R:3 pbc="T T T"
Co 0.000 0.000 0.000
Hg 0.805 -2.572 -0.500
Hg 2.416 -7.717 -1.500
Ni 1.611 -5.145 -1.000
```

Calculated values
The energy relative to the elements is 0.3895 eV per atom. The symmetry is Fm-3m.